[1]
5
Lattice="5.1860 0.0000 0.0000 0.0000 4.8808 0.0000 0.0000 0.0000 5.1860" Properties=species:S:1:pos:R:3 comment="La2ScFeAu | the Alexandria database | PBE-GGA | relaxed" magmom_total_mub_per_fu=0.0 total_energy_ev_per_cell=-28.7 spacegroup="P4/mmm (123)" formation_energy_mev_per_atom=-151 pbc="T T T"
Sc 0.0000 2.4404 0.0000
Au 2.5930 2.4404 2.5930
Fe 0.0000 0.0000 0.0000
La 0.0000 0.0000 2.5930
La 2.5930 0.0000 0.0000


[2]
5
Lattice="4.7956 0.0000 0.0000 0.0000 4.7956 0.0000 0.0000 0.0000 4.7956" Properties=species:S:1:pos:R:3 comment="Na3AlN | the Alexandria database | PBE-GGA | relaxed" magmom_total_mub_per_fu=0.0 total_energy_ev_per_cell=-13.4 spacegroup="Pm-3m (221)" raw_formation_energy_ev_per_atom=0.516 polymorph_energy_mev_per_atom=0 pbc="T T T"
Na 0.0000 2.3978 0.0000
Na 0.0000 0.0000 2.3978
Na 2.3978 0.0000 0.0000
Al 2.3978 2.3978 2.3978
N 0.0000 0.0000 0.0000


[3]
14
Lattice="8.2253 -0.7010 1.3075 -1.2768 10.2692 -2.6765 -2.3146 -6.8983 7.8671" Properties=species:S:1:pos:R:3 comment="Ac4YTl2 | the Alexandria database | PBE-GGA | relaxed" magmom_total_mub_per_fu=0.0 total_energy_ev_per_cell=-56.4 spacegroup="P1 (1)" formation_energy_mev_per_atom=-79 pbc="T T T"
Ac 6.2988 -1.1221 2.3800
Ac 1.7055 4.5111 0.2819
Ac 5.0335 0.2808 5.4182
Ac 5.3789 -5.5720 6.9684
Ac 2.1319 -1.8341 2.6363
Ac 1.5587 -4.3484 6.1036
Ac 0.8713 1.7200 3.9294
Ac 6.0575 5.1235 0.8158
Y -1.3655 3.1021 1.6284
Y 1.5449 0.7619 0.2999
Tl 1.7169 -0.7297 6.1489
Tl 4.4717 -3.1043 4.7723
Tl 4.0483 1.7446 1.8313
Tl -0.9277 -1.6757 4.6877


[4]
68
Lattice="7.6604 0.0000 0.0000 0.0000 8.7377 -0.0198 0.0000 0.4840 9.4503" Properties=species:S:1:pos:R:3 comment="SmMgB5O10 | the Alexandria database | PBE-GGA | relaxed" magmom_total_mub_per_fu=0.0 total_energy_ev_per_cell=-540.2 spacegroup="P2_1/c (14)" raw_formation_energy_ev_per_atom=-2.692 pbc="T T T"
Sm 6.2162 1.9959 7.2089
Sm 1.4442 7.2257 2.2216
Sm 2.3860 3.0989 6.9567
Sm 5.2744 6.1228 2.4739
Mg 0.6866 8.1219 5.8900
Mg 6.9738 1.0997 3.5405
Mg 4.5168 5.7106 8.2558
Mg 3.1436 3.5111 1.1748
B 1.3191 0.5625 8.4366
B 6.3413 8.6591 0.9940
B 5.1493 4.5323 5.7290
B 2.5111 4.6894 3.7015
B 3.2256 8.3473 6.9523
B 4.4348 0.8744 2.4782
B 7.0558 5.4852 7.1935
B 0.6046 3.7365 2.2371
B 1.4370 5.4054 8.6171
B 6.2234 3.8163 0.8134
B 5.2672 8.4271 5.5287
B 2.3932 0.7946 3.9018
B 4.0691 2.6566 4.2147
B 3.5913 6.5651 5.2158
B 0.2389 1.9543 0.5006
B 7.4215 7.2674 8.9300
B 3.0837 7.8731 9.4293
B 4.5767 1.3486 0.0012
B 6.9139 5.9594 4.7165
B 0.7465 3.2623 4.7140
O 0.6529 4.8488 7.6232
O 7.0075 4.3729 1.8073
O 4.4831 8.9837 6.5226
O 3.1773 0.2379 2.9079
O 0.9755 6.4689 9.3557
O 6.6849 2.7528 0.0749
O 4.8057 7.3636 4.7901
O 2.8547 1.8581 4.6404
O 4.6278 3.1554 5.5177
O 3.0326 6.0663 3.9128
O 0.7976 1.9395 8.6479
O 6.8628 7.2822 0.7826
O 2.1841 0.6397 7.2245
O 5.4763 8.5820 2.2060
O 6.0143 4.4552 6.9411
O 1.6461 4.7665 2.4895
O 2.6723 4.8146 8.7603
O 4.9881 4.4070 0.6702
O 6.5025 0.2802 5.4053
O 1.1579 8.9415 4.0252
O 1.7314 4.2426 4.8645
O 5.9290 4.9791 4.5661
O 5.5616 0.8523 9.3011
O 2.0988 8.3694 0.1294
O 2.6687 7.4383 5.9380
O 4.9917 1.7834 3.4925
O 6.4989 6.3942 8.2078
O 1.1615 2.8275 1.2227
O 3.5637 7.5547 8.1806
O 4.0967 1.6669 1.2499
O 7.3939 6.2778 5.9652
O 0.2665 2.9439 3.4654
O 0.3366 2.6126 5.8291
O 7.3238 6.6090 3.6014
O 4.1668 2.4822 8.3365
O 3.4936 6.7395 1.0940
O 0.2100 8.3807 8.0388
O 7.4504 0.8410 1.3917
O 4.0402 5.4518 6.1070
O 3.6202 3.7699 3.3236


[5]
8
Lattice="-4.8077 0.2300 4.4749 -0.1535 -4.5242 -4.7644 2.6309 -3.2413 2.9931" Properties=species:S:1:pos:R:3 comment="CaMg6Zr | the Alexandria database | PBE-GGA | relaxed" magmom_total_mub_per_fu=0.0 total_energy_ev_per_cell=-20.0 spacegroup="Amm2 (38)" formation_energy_mev_per_atom=13 polymorph_energy_mev_per_atom=4 pbc="T T T"
Ca -0.5399 -4.1295 -3.9974
Mg -0.5085 -1.8852 -1.5945
Mg -2.9211 -3.9734 -1.7353
Mg -2.8477 -1.7721 0.5840
Mg -0.7638 -1.9267 2.9927
Mg -3.1495 -3.9917 2.8535
Mg -3.0741 -1.8177 5.1414
Zr -0.7783 -4.1629 0.5838


[6]
2
Lattice="-0.1886 0.7282 -2.9151 -2.9786 0.0194 -0.3526 -1.3860 4.4840 -0.3122" Properties=species:S:1:pos:R:3 comment="GaAu | the Alexandria database | PBE-GGA | relaxed" magmom_total_mub_per_fu=0.0 total_energy_ev_per_cell=-6.6 spacegroup="P1 (1)" formation_energy_mev_per_atom=-132 pbc="T T T"
Ga -2.4046 1.4209 -0.4365
Au -4.2259 4.1602 -2.6570


[7]
5
Lattice="-0.9751 0.6090 3.7524 3.7427 -0.5252 1.0578 1.0560 6.0881 -0.7137" Properties=species:S:1:pos:R:3 comment="BeAgSeN2 | the Alexandria database | PBE-GGA | relaxed" magmom_total_mub_per_fu=3.5 total_energy_ev_per_cell=-16.9 spacegroup="P4/mmm (123)" raw_formation_energy_ev_per_atom=1.962 polymorph_energy_mev_per_atom=800 pbc="T T T"
Be 1.9118 3.0860 2.0483
Se 0.5280 3.0441 -0.3568
Ag 0.0000 0.0000 0.0000
N 1.8713 -0.2626 0.5289
N -0.4875 0.3045 1.8762


[8]
5
Lattice="-3.7260 -2.8657 -1.7279 1.0305 -3.4429 3.4879 -3.1837 2.2395 3.1511" Properties=species:S:1:pos:R:3 comment="Hf3CrOs | the Alexandria database | PBE-GGA | relaxed" magmom_total_mub_per_fu=3.5 total_energy_ev_per_cell=-47.4 spacegroup="Pm-3m (221)" formation_energy_mev_per_atom=672 polymorph_energy_mev_per_atom=0 pbc="T T T"
Hf 0.5152 -1.7214 1.7440
Hf -1.5919 1.1197 1.5756
Hf -1.8630 -1.4329 -0.8639
Os 0.0000 0.0000 0.0000
Cr -2.9396 -2.0345 2.4556